Compound: HoTlPt4
Source: the Alexandria database
Functional: PBE-GGA
Structure: optimized geometry

Structure (POSCAR):
```
HoTlPt4
1.0
0.0000 3.8364 3.8364
3.8364 0.0000 3.8364
3.8364 3.8364 0.0000
Ho Tl Pt
1 1 4
Direct
0.0000 0.0000 0.0000 Ho
0.2500 0.2500 0.2500 Tl
0.1258 0.6247 0.6247 Pt
0.6247 0.1258 0.6247 Pt
0.6247 0.6247 0.1258 Pt
0.6247 0.6247 0.6247 Pt
```

DOS at the Fermi energy = 2.3 states/eV/f.u.
electronic total energy = -35.5 eV/cell
magnetization = 0.0 μB per cell